<i>
First-principles (PBE) data for crystalline NaSr2Fe at its relaxed geometry, as listed in Alexandria.

Magnetic moment: 0.740 μB/atom

Cell: 5.777 5.777 5.777 Å, 60.00 60.00 60.00°
Fractional coordinates of all 4 atoms:
Na1 0.000 0.000 0.000
Sr1 0.250 0.250 0.250
Sr2 0.750 0.750 0.750
Fe1 0.500 0.500 0.500



<ii>
First-principles (PBE) data for crystalline NaSr2Fe at its relaxed geometry, as listed in Alexandria.

Magnetic moment: 0.558 μB/atom

Cell: 7.350 7.350 7.350 Å, 104.70 104.70 119.50°
Fractional coordinates of all 8 atoms:
Na1 0.000 0.000 0.000
Na2 0.750 0.250 0.500
Sr1 0.174 0.625 0.049
Sr2 0.375 0.424 0.549
Sr3 0.576 0.125 0.951
Sr4 0.875 0.826 0.451
Fe1 0.250 0.750 0.500
Fe2 0.500 0.500 0.000



Referenced to the most stable arrangement, the calculated values in meV per atom are <i> 0; <ii> 167.



<i>
First-principles (PBE) data for crystalline NaSrFe2 at its relaxed geometry, as listed in Alexandria.

Magnetic moment: 1.412 μB/atom

Cell: 5.119 5.119 5.119 Å, 60.00 60.00 60.00°
Fractional coordinates of all 4 atoms:
Na1 0.000 0.000 0.000
Sr1 0.500 0.500 0.500
Fe1 0.250 0.250 0.250
Fe2 0.750 0.750 0.750



<ii>
First-principles (PBE) data for crystalline NaSrFe2 at its relaxed geometry, as listed in Alexandria.

Magnetic moment: 1.261 μB/atom

Cell: 10.610 10.610 10.610 Å, 154.84 154.84 35.89°
Fractional coordinates of all 8 atoms:
Na1 0.375 0.625 0.750
Na2 0.625 0.375 0.250
Sr1 0.125 0.875 0.250
Sr2 0.875 0.125 0.750
Fe1 0.000 0.500 0.500
Fe2 0.500 0.000 0.000
Fe3 0.500 0.500 0.000
Fe4 0.500 0.500 0.500



Referenced to the most stable arrangement, the calculated values in meV per atom are <i> 74; <ii> 0.



<i>
First-principles (PBE) data for crystalline NaSrZr2Fe at its relaxed geometry, as listed in Alexandria.

Magnetic moment: 0.145 μB/atom

Cell: 5.104 5.104 5.400 Å, 90.00 90.00 90.00°
Fractional coordinates of all 5 atoms:
Na1 0.000 0.000 0.000
Sr1 0.000 0.000 0.500
Zr1 0.000 0.500 0.000
Zr2 0.500 0.000 0.000
Fe1 0.500 0.500 0.500



<ii>
First-principles (PBE) data for crystalline NaSrZr2Fe at its relaxed geometry, as listed in Alexandria.

Magnetic moment: 0.000 μB/atom

Cell: 4.872 4.872 6.012 Å, 90.00 90.00 90.00°
Fractional coordinates of all 5 atoms:
Na1 0.000 0.000 0.000
Sr1 0.500 0.500 0.000
Zr1 0.000 0.500 0.500
Zr2 0.500 0.000 0.500
Fe1 0.500 0.500 0.500



Referenced to the most stable arrangement, the calculated values in meV per atom are <i> 1551; <ii> 0.



<i>
First-principles (PBE) data for crystalline NaTa3Fe at its relaxed geometry, as listed in Alexandria.

Magnetic moment: 0.000 μB/atom

Cell: 4.581 4.581 4.581 Å, 90.00 90.00 90.00°
Fractional coordinates of all 5 atoms:
Na1 0.000 0.000 0.000
Ta1 0.000 0.000 0.500
Ta2 0.000 0.500 0.000
Ta3 0.500 0.000 0.000
Fe1 0.500 0.500 0.500



<ii>
First-principles (PBE) data for crystalline NaTa3Fe at its relaxed geometry, as listed in Alexandria.

Magnetic moment: 0.000 μB/atom

Cell: 4.670 4.670 4.670 Å, 90.00 90.00 90.00°
Fractional coordinates of all 5 atoms:
Na1 0.000 0.000 0.000
Ta1 0.000 0.500 0.500
Ta2 0.500 0.000 0.500
Ta3 0.500 0.500 0.000
Fe1 0.500 0.500 0.500



Referenced to the most stable arrangement, the calculated values in meV per atom are <i> 1782; <ii> 0.



<i>
First-principles (PBE) data for crystalline Na2TaFe at its relaxed geometry, as listed in Alexandria.

Magnetic moment: 0.563 μB/atom

Cell: 4.809 4.809 4.809 Å, 60.00 60.00 60.00°
Fractional coordinates of all 4 atoms:
Na1 0.250 0.250 0.250
Na2 0.750 0.750 0.750
Ta1 0.000 0.000 0.000
Fe1 0.500 0.500 0.500



<ii>
First-principles (PBE) data for crystalline Na2TaFe at its relaxed geometry, as listed in Alexandria.

Magnetic moment: 0.000 μB/atom

Cell: 7.664 7.664 7.664 Å, 94.61 94.61 147.07°
Fractional coordinates of all 8 atoms:
Na1 0.375 0.242 0.367
Na2 0.758 0.125 0.133
Na3 0.875 0.008 0.633
Na4 0.992 0.625 0.867
Ta1 0.250 0.750 0.500
Ta2 0.500 0.500 0.000
Fe1 0.000 0.000 0.000
Fe2 0.750 0.250 0.500



Referenced to the most stable arrangement, the calculated values in meV per atom are <i> 204; <ii> 0.



<i>
First-principles (PBE) data for crystalline NaTaFe2 at its relaxed geometry, as listed in Alexandria.

Magnetic moment: 0.716 μB/atom

Cell: 5.606 5.606 5.606 Å, 104.18 104.18 120.68°
Fractional coordinates of all 8 atoms:
Na1 0.000 0.000 0.000
Na2 0.750 0.250 0.500
Ta1 0.250 0.750 0.500
Ta2 0.500 0.500 0.000
Fe1 0.143 0.625 0.018
Fe2 0.375 0.393 0.518
Fe3 0.607 0.125 0.982
Fe4 0.875 0.857 0.482



<ii>
First-principles (PBE) data for crystalline NaTaFe2 at its relaxed geometry, as listed in Alexandria.

Magnetic moment: 0.461 μB/atom

Cell: 4.337 4.337 4.337 Å, 60.00 60.00 60.00°
Fractional coordinates of all 4 atoms:
Na1 0.000 0.000 0.000
Ta1 0.500 0.500 0.500
Fe1 0.250 0.250 0.250
Fe2 0.750 0.750 0.750



Referenced to the most stable arrangement, the calculated values in meV per atom are <i> 326; <ii> 0.



<i>
First-principles (PBE) data for crystalline NaTb2Fe at its relaxed geometry, as listed in Alexandria.

Magnetic moment: 0.136 μB/atom

Cell: 10.642 10.642 10.642 Å, 20.20 20.20 20.20°
Fractional coordinates of all 4 atoms:
Na1 0.000 0.000 0.000
Tb1 0.117 0.117 0.117
Tb2 0.883 0.883 0.883
Fe1 0.500 0.500 0.500



<ii>
First-principles (PBE) data for crystalline NaTb2Fe at its relaxed geometry, as listed in Alexandria.

Magnetic moment: 0.058 μB/atom

Cell: 3.354 3.354 9.354 Å, 90.00 90.00 90.00°
Fractional coordinates of all 4 atoms:
Na1 0.000 0.000 0.000
Tb1 0.500 0.500 0.329
Tb2 0.500 0.500 0.671
Fe1 0.000 0.000 0.500



Referenced to the most stable arrangement, the calculated values in meV per atom are <i> 169; <ii> 0.



<i>
First-principles (PBE) data for crystalline NaFe3Tc at its relaxed geometry, as listed in Alexandria.

Magnetic moment: 2.201 μB/atom

Cell: 4.332 4.332 4.332 Å, 90.00 90.00 90.00°
Fractional coordinates of all 5 atoms:
Na1 0.000 0.000 0.000
Fe1 0.000 0.000 0.500
Fe2 0.000 0.500 0.000
Fe3 0.500 0.000 0.000
Tc1 0.500 0.500 0.500



<ii>
First-principles (PBE) data for crystalline NaFe3Tc at its relaxed geometry, as listed in Alexandria.

Magnetic moment: 1.382 μB/atom

Cell: 4.586 4.586 4.586 Å, 90.00 90.00 90.00°
Fractional coordinates of all 5 atoms:
Na1 0.000 0.000 0.000
Fe1 0.000 0.500 0.500
Fe2 0.500 0.000 0.500
Fe3 0.500 0.500 0.000
Tc1 0.500 0.500 0.500



Referenced to the most stable arrangement, the calculated values in meV per atom are <i> 867; <ii> 0.



<i>
First-principles (PBE) data for crystalline Na2FeTc at its relaxed geometry, as listed in Alexandria.

Magnetic moment: 1.408 μB/atom

Cell: 4.760 4.760 4.760 Å, 60.00 60.00 60.00°
Fractional coordinates of all 4 atoms:
Na1 0.250 0.250 0.250
Na2 0.750 0.750 0.750
Fe1 0.000 0.000 0.000
Tc1 0.500 0.500 0.500



<ii>
First-principles (PBE) data for crystalline Na2FeTc at its relaxed geometry, as listed in Alexandria.

Magnetic moment: 0.844 μB/atom

Cell: 7.486 7.486 7.486 Å, 94.79 94.79 146.42°
Fractional coordinates of all 8 atoms:
Na1 0.375 0.244 0.369
Na2 0.756 0.125 0.131
Na3 0.875 0.006 0.631
Na4 0.994 0.625 0.869
Fe1 0.000 0.000 0.000
Fe2 0.750 0.250 0.500
Tc1 0.250 0.750 0.500
Tc2 0.500 0.500 0.000



Referenced to the most stable arrangement, the calculated values in meV per atom are <i> 66; <ii> 0.



<i>
First-principles (PBE) data for crystalline NaFeTe3 at its relaxed geometry, as listed in Alexandria.

Magnetic moment: 0.000 μB/atom

Cell: 5.158 5.158 5.158 Å, 90.00 90.00 90.00°
Fractional coordinates of all 5 atoms:
Na1 0.000 0.000 0.000
Fe1 0.500 0.500 0.500
Te1 0.000 0.500 0.500
Te2 0.500 0.000 0.500
Te3 0.500 0.500 0.000



<ii>
First-principles (PBE) data for crystalline NaFeTe3 at its relaxed geometry, as listed in Alexandria.

Magnetic moment: 0.603 μB/atom

Cell: 5.449 5.449 5.449 Å, 90.00 90.00 90.00°
Fractional coordinates of all 5 atoms:
Na1 0.000 0.000 0.000
Fe1 0.500 0.500 0.500
Te1 0.000 0.000 0.500
Te2 0.000 0.500 0.000
Te3 0.500 0.000 0.000



Referenced to the most stable arrangement, the calculated values in meV per atom are <i> 0; <ii> 925.



<i>
First-principles (PBE) data for crystalline Na2TiFe at its relaxed geometry, as listed in Alexandria.

Magnetic moment: 0.099 μB/atom

Cell: 4.925 4.925 4.925 Å, 60.00 60.00 60.00°
Fractional coordinates of all 4 atoms:
Na1 0.250 0.250 0.250
Na2 0.750 0.750 0.750
Ti1 0.000 0.000 0.000
Fe1 0.500 0.500 0.500



<ii>
First-principles (PBE) data for crystalline Na2TiFe at its relaxed geometry, as listed in Alexandria.

Magnetic moment: 0.000 μB/atom

Cell: 7.540 7.540 7.540 Å, 94.46 94.46 147.63°
Fractional coordinates of all 8 atoms:
Na1 0.375 0.002 0.127
Na2 0.752 0.625 0.627
Na3 0.875 0.248 0.873
Na4 0.998 0.125 0.373
Ti1 0.250 0.750 0.500
Ti2 0.500 0.500 0.000
Fe1 0.000 0.000 0.000
Fe2 0.750 0.250 0.500



Referenced to the most stable arrangement, the calculated values in meV per atom are <i> 98; <ii> 0.



<i>
First-principles (PBE) data for crystalline NaTiFe2 at its relaxed geometry, as listed in Alexandria.

Magnetic moment: 0.860 μB/atom

Cell: 9.377 9.377 9.377 Å, 156.41 156.41 33.60°
Fractional coordinates of all 8 atoms:
Na1 0.000 0.000 0.000
Na2 0.750 0.250 0.500
Ti1 0.250 0.750 0.500
Ti2 0.500 0.500 0.000
Fe1 0.175 0.125 0.550
Fe2 0.375 0.825 0.950
Fe3 0.575 0.625 0.450
Fe4 0.875 0.425 0.050



<ii>
First-principles (PBE) data for crystalline NaTiFe2 at its relaxed geometry, as listed in Alexandria.

Magnetic moment: 0.809 μB/atom

Cell: 4.421 4.421 4.421 Å, 60.00 60.00 60.00°
Fractional coordinates of all 4 atoms:
Na1 0.000 0.000 0.000
Ti1 0.500 0.500 0.500
Fe1 0.250 0.250 0.250
Fe2 0.750 0.750 0.750



Referenced to the most stable arrangement, the calculated values in meV per atom are <i> 323; <ii> 0.



<i>
First-principles (PBE) data for crystalline NaTlFe3 at its relaxed geometry, as listed in Alexandria.

Magnetic moment: 1.667 μB/atom

Cell: 4.557 4.557 4.557 Å, 90.00 90.00 90.00°
Fractional coordinates of all 5 atoms:
Na1 0.000 0.000 0.000
Tl1 0.500 0.500 0.500
Fe1 0.000 0.000 0.500
Fe2 0.000 0.500 0.000
Fe3 0.500 0.000 0.000



<ii>
First-principles (PBE) data for crystalline NaTlFe3 at its relaxed geometry, as listed in Alexandria.

Magnetic moment: 1.830 μB/atom

Cell: 5.026 5.026 5.026 Å, 90.00 90.00 90.00°
Fractional coordinates of all 5 atoms:
Na1 0.000 0.000 0.000
Tl1 0.500 0.500 0.500
Fe1 0.000 0.500 0.500
Fe2 0.500 0.000 0.500
Fe3 0.500 0.500 0.000



Referenced to the most stable arrangement, the calculated values in meV per atom are <i> 217; <ii> 0.



<i>
First-principles (PBE) data for crystalline NaTm2Fe at its relaxed geometry, as listed in Alexandria.

Magnetic moment: 0.151 μB/atom

Cell: 10.550 10.550 10.550 Å, 19.78 19.78 19.78°
Fractional coordinates of all 4 atoms:
Na1 0.000 0.000 0.000
Tm1 0.115 0.115 0.115
Tm2 0.885 0.885 0.885
Fe1 0.500 0.500 0.500



<ii>
First-principles (PBE) data for crystalline NaTm2Fe at its relaxed geometry, as listed in Alexandria.

Magnetic moment: 0.000 μB/atom

Cell: 3.282 3.282 9.335 Å, 90.00 90.00 90.00°
Fractional coordinates of all 4 atoms:
Na1 0.000 0.000 0.000
Tm1 0.500 0.500 0.331
Tm2 0.500 0.500 0.669
Fe1 0.000 0.000 0.500



Referenced to the most stable arrangement, the calculated values in meV per atom are <i> 210; <ii> 0.